[1]
## LiCaSn2 (PBEsol)

Data for a geometry-optimized LiCaSn2 structure.

Unit cell a=5.155 b=5.155 c=5.155 alpha=60.00 beta=60.00 gamma=60.00
Fractional coordinates of all 4 atoms:
Li  0.000  0.000  0.000
Ca  0.500  0.500  0.500
Sn  0.250  0.250  0.250
Sn  0.750  0.750  0.750

The total energy comes out at -0.1324 Ha/atom. The magnetic moment is 0.0 μB/f.u. Its crystal system is cubic. The formation energy comes out at -0.45 eV/atom. The calculation puts the volume at 96.9 Å³/cell.

***

[2]
## TcSbOs (PBEsol)

Data for a geometry-optimized TcSbOs structure.

Unit cell a=4.268 b=4.268 c=4.268 alpha=60.00 beta=60.00 gamma=60.00
Fractional coordinates of all 3 atoms:
Tc  0.000  0.000  0.000
Sb  0.750  0.750  0.750
Os  0.250  0.250  0.250

The uncorrected formation energy comes out at 0.443 eV/atom. The total energy comes out at -0.3272 Ha/atom. For the energy above the most stable polymorph in this dataset, the calculation gives 0.115 eV/atom. The magnetic moment is 0.0 μB/f.u. Its crystal system is cubic. The calculation puts the volume at 55.0 Å³/cell.

***

[3]
## MgNb2TlTc (PBEsol)

Data for a geometry-optimized MgNb2TlTc structure.

Unit cell a=4.735 b=4.735 c=4.475 alpha=90.00 beta=90.00 gamma=90.00
Fractional coordinates of all 5 atoms:
Mg  0.000  0.000  0.000
Nb  0.000  0.500  0.000
Nb  0.500  0.000  0.000
Tl  0.500  0.500  0.500
Tc  0.000  0.000  0.500

The total energy comes out at -0.2117 Ha/atom. The magnetic moment is 0.0 μB/f.u. Its crystal system is tetragonal. The formation energy comes out at 1.69 eV/atom. The calculation puts the volume at 100.3 Å³/cell.